Computed, not measured: a relaxed Rb2TlCd4Bi3 crystal at the PBE level of DFT.

```
data_Rb2TlCd4Bi3
_cell_length_a 5.205
_cell_length_b 5.205
_cell_length_c 12.654
_cell_angle_alpha 90.00
_cell_angle_beta 90.00
_cell_angle_gamma 90.00
_space_group_name_H-M_alt 'P -4 m 2'
_space_group_IT_number 115
loop_
_space_group_symop_operation_xyz
'x,y,z'
'y,-x,-z'
'-x,-y,z'
'-y,x,-z'
'-x,y,z'
'-y,-x,-z'
'x,-y,z'
'y,x,-z'
loop_
_atom_site_label
_atom_site_type_symbol
_atom_site_fract_x
_atom_site_fract_y
_atom_site_fract_z
_atom_site_occupancy
Rb1 Rb 0.000 0.500 0.244 1
Tl1 Tl 0.000 0.000 0.500 1
Cd1 Cd 0.000 0.000 0.000 1
Cd2 Cd 0.000 0.500 0.634 1
Cd3 Cd 0.500 0.500 0.000 1
Bi1 Bi 0.000 0.500 0.871 1
Bi2 Bi 0.500 0.500 0.500 1
```

Computed properties:
Energy: -2.16 eV per atom
Total magnetization: 0.00 Bohr magnetons per cell
Crystal system: tetragonal
DFT formation energy: -0.195 eV/atom